1.
First-principles (GGA-PBE) data for an optimized crystal structure of CsTeSe2, as listed in Alexandria via LeMat-Bulk.

Cell: 7.1687 7.1687 9.0036 Å, 66.54 66.54 90.00°
Closest atoms and distances in Å follow each position.
Element x y z (fractional)
1 Se 0.8750 0.7548 0.7500  2 Te 2.75
2 Se 0.2452 0.6250 0.2500  2 Te 2.75
3 Se 0.3750 0.4952 0.7500  2 Te 2.75
4 Se 0.5048 0.1250 0.2500  2 Te 2.75
5 Te 0.5000 0.5000 0.0000  4 Se 2.75
6 Te 0.2500 0.7500 0.5000  4 Se 2.75
7 Cs 0.0000 0.0000 0.0000  4 Se 3.70
8 Cs 0.7500 0.2500 0.5000  4 Se 3.70

Formation energy without anion corrections: -0.4015 eV per atom

2.
First-principles (GGA-PBE) data for an optimized crystal structure of Hg2PSe, as listed in Alexandria via LeMat-Bulk.

Cell: 4.9747 4.9747 4.9747 Å, 60.00 60.00 60.00°
Closest atoms and distances in Å follow each position.
Element x y z (fractional)
1 P 0.0000 0.0000 0.0000  8 Hg 3.05
2 Hg 0.2500 0.2500 0.2500  4 Se 3.05, 4 P 3.05
3 Hg 0.7500 0.7500 0.7500  4 Se 3.05, 4 P 3.05
4 Se 0.5000 0.5000 0.5000  8 Hg 3.05

Formation energy without anion corrections: 0.6256 eV per atom

3.
First-principles (GGA-PBE) data for an optimized crystal structure of La3Pm12Cd, as listed in Alexandria via LeMat-Bulk.

Cell: 5.1246 5.1246 20.6751 Å, 90.00 90.00 90.00°
Closest atoms and distances in Å follow each position.
Element x y z (fractional)
1 La 0.0000 0.0000 0.5000  12 Pm 3.62-3.67
2 La 0.0000 0.0000 0.2460  12 Pm 3.62-3.67
3 La 0.0000 0.0000 0.7540  12 Pm 3.62-3.67
4 Pm 0.5000 0.0000 0.6270  8 Pm 3.62-3.72, 4 La 3.67
5 Pm 0.5000 0.5000 0.5000  4 La 3.62, 8 Pm 3.67
6 Pm 0.5000 0.5000 0.7574  8 Pm 3.62-3.72, 4 La 3.62
7 Pm 0.5000 0.5000 0.2426  8 Pm 3.62-3.72, 4 La 3.62
8 Pm 0.5000 0.0000 0.1189  2 Cd 3.55, 8 Pm 3.55-3.62, 2 La 3.67
9 Pm 0.5000 0.0000 0.8811  8 Pm 3.55-3.62, 2 Cd 3.55, 2 La 3.67
10 Pm 0.0000 0.5000 0.6270  8 Pm 3.62-3.72, 4 La 3.67
11 Pm 0.0000 0.5000 0.3730  8 Pm 3.62-3.72, 4 La 3.67
12 Pm 0.5000 0.0000 0.3730  8 Pm 3.62-3.72, 4 La 3.67
13 Pm 0.5000 0.5000 0.0000  8 Pm 3.55, 4 Cd 3.62
14 Pm 0.0000 0.5000 0.8811  2 Cd 3.55, 8 Pm 3.55-3.62, 2 La 3.67
15 Pm 0.0000 0.5000 0.1189  2 Cd 3.55, 8 Pm 3.55-3.62, 2 La 3.67
16 Cd 0.0000 0.0000 0.0000  12 Pm 3.55-3.62

Calculated total energy: -72.8 eV per cell

4.
First-principles (GGA-PBE) data for an optimized crystal structure of ScTa2Hg, as listed in Alexandria via LeMat-Bulk.

Cell: 5.4921 5.4921 5.4921 Å, 136.30 136.30 63.51°
Closest atoms and distances in Å follow each position.
Element x y z (fractional)
1 Sc 0.7500 0.2500 0.5000  4 Hg 2.89, 8 Ta 3.10
2 Ta 0.5000 0.5000 0.0000  4 Ta 2.89, 4 Sc 3.10, 4 Hg 3.10
3 Ta 0.0000 0.0000 0.0000  4 Ta 2.89, 4 Hg 3.10, 4 Sc 3.10
4 Hg 0.2500 0.7500 0.5000  4 Sc 2.89, 8 Ta 3.10

Calculated total energy: -29.8 eV per cell

5.
First-principles (GGA-PBE) data for an optimized crystal structure of CsHgPbBr2, as listed in Alexandria via LeMat-Bulk.

Cell: 6.1007 6.1007 6.0997 Å, 90.00 90.00 90.00°
Closest atoms and distances in Å follow each position.
Element x y z (fractional)
1 Br 0.0000 0.5000 0.0000  2 Pb 3.05
2 Br 0.5000 0.0000 0.0000  2 Pb 3.05
3 Cs 0.5000 0.5000 0.5000  8 Br 4.31, 4 Hg 4.31
4 Hg 0.0000 0.0000 0.5000  2 Pb 3.05
5 Pb 0.0000 0.0000 0.0000  2 Hg 3.05, 4 Br 3.05

Formation energy without anion corrections: -0.8301 eV per atom

6.
First-principles (GGA-PBE) data for an optimized crystal structure of EuAl2Ag3, as listed in Alexandria via LeMat-Bulk.

Cell: 4.2121 5.8425 5.8425 Å, 120.00 90.00 90.00°
Closest atoms and distances in Å follow each position.
Element x y z (fractional)
1 Ag 0.5000 0.0000 0.5000  4 Al 2.70, 4 Ag 2.92
2 Ag 0.5000 0.5000 0.5000  4 Al 2.70, 4 Ag 2.92
3 Ag 0.5000 0.5000 0.0000  4 Al 2.70, 4 Ag 2.92
4 Al 0.0000 0.3333 0.6667  6 Ag 2.70
5 Al 0.0000 0.6667 0.3333  6 Ag 2.70
6 Eu 0.0000 0.0000 0.0000  6 Al 3.37, 12 Ag 3.60

Calculated total energy: -27.7 eV per cell